Ca2TaIn | SCAN | single point on PBEsol structure

volume	24.3	Å³/atom
ρ	6.42	g/cm3
energy relative to the elements	0.40	eV/atom

a b c (Å): 3.0742 5.9888 5.9888
angles (deg): 118.19 90.37 90.37
Last column: magnetic moment on the atom in μB.
Element x y z (fractional)
Ca: 0.0000 0.0000 0.5000  -0.01
Ca: 0.0000 0.5000 0.0000  -0.01
In: 0.5000 0.5000 0.5000  -0.02
Ta: 0.5000 0.0000 0.0000  0.16